First-principles (PBE) data for a relaxed structure of CdBi2Sb, as listed in the Alexandria database.

The value obtained for the density of states at the Fermi level is 1.87 states/eV/f.u. For the magnetization, the calculation gives 0.000 μB per formula unit. Its raw formation energy is 0.40 eV/f.u. For the excess energy over the best structure of this formula in the dataset, the calculation gives 0.0000 eV/atom.

Lattice parameters (Å, degrees): 4.3345 4.3345 8.1776 74.63 74.63 60.00
Element x y z (fractional)
1 Bi 0.2494 0.2494 0.2518
2 Bi 0.0845 0.0845 0.7464
3 Cd 0.4992 0.4992 0.5025
4 Sb 0.6669 0.6669 0.9992

First-principles (PBE) data for a relaxed structure of Cd12Bi3Sb5, as listed in the Alexandria database.

The value obtained for the density of states at the Fermi level is 7.81 states/eV/f.u. For the magnetization, the calculation gives 0.000 μB per formula unit. Its raw formation energy is 1.16 eV/f.u.

Lattice parameters (Å, degrees): 14.9487 14.9487 14.9487 109.47 109.47 109.47
Element x y z (fractional)
1 Cd 0.0544 0.6319 0.7270
2 Cd 0.7730 0.4456 0.3681
3 Cd 0.5544 0.3274 0.9225
4 Cd 0.8681 0.2730 0.4456
5 Cd 0.5775 0.9456 0.6726
6 Cd 0.9456 0.3681 0.2730
7 Cd 0.1319 0.4049 0.0775
8 Cd 0.7730 0.3274 0.9049
9 Cd 0.2270 0.5544 0.6319
10 Cd 0.1726 0.0951 0.7270
11 Cd 0.9049 0.8274 0.7730
12 Cd 0.4456 0.7730 0.8681
13 Cd 0.9049 0.0775 0.6319
14 Cd 0.6726 0.4456 0.5775
15 Cd 0.3274 0.5544 0.4225
16 Cd 0.8274 0.9049 0.2730
17 Cd 0.1726 0.0775 0.9456
18 Cd 0.0951 0.9225 0.3681
19 Cd 0.0951 0.1726 0.2270
20 Cd 0.5951 0.8681 0.4225
21 Cd 0.9225 0.0951 0.8681
22 Cd 0.4456 0.6726 0.0775
23 Cd 0.9225 0.8274 0.5544
24 Cd 0.7270 0.5951 0.1726
25 Cd 0.6319 0.0544 0.2270
26 Cd 0.3681 0.4225 0.0951
27 Cd 0.2270 0.6726 0.0951
28 Cd 0.3681 0.9456 0.7730
29 Cd 0.7270 0.1319 0.0544
30 Cd 0.5775 0.6319 0.4049
31 Cd 0.4225 0.3681 0.5951
32 Cd 0.4225 0.0544 0.3274
33 Cd 0.2730 0.4049 0.8274
34 Cd 0.0775 0.1726 0.4456
35 Cd 0.0544 0.4225 0.8274
36 Cd 0.1319 0.7270 0.5544
37 Cd 0.4049 0.2730 0.3274
38 Cd 0.9456 0.5775 0.1726
39 Cd 0.6319 0.5775 0.9049
40 Cd 0.5951 0.7270 0.6726
41 Cd 0.0775 0.9049 0.1319
42 Cd 0.2730 0.8681 0.9456
43 Cd 0.4049 0.1319 0.5775
44 Cd 0.6726 0.2270 0.5951
45 Cd 0.3274 0.7730 0.4049
46 Cd 0.8274 0.9225 0.0544
47 Cd 0.8681 0.5951 0.9225
48 Cd 0.5544 0.2270 0.1319
49 Bi 0.7500 0.3750 0.1250
50 Bi 0.6250 0.3750 0.7500
51 Bi 0.1250 0.2500 0.8750
52 Bi 0.2500 0.6250 0.8750
53 Bi 0.3750 0.6250 0.2500
54 Bi 0.2500 0.1250 0.3750
55 Bi 0.7500 0.8750 0.6250
56 Bi 0.1250 0.8750 0.7500
57 Bi 0.6250 0.2500 0.3750
58 Bi 0.8750 0.7500 0.1250
59 Bi 0.8750 0.1250 0.2500
60 Bi 0.3750 0.7500 0.6250
61 Sb 0.5000 0.0000 0.5000
62 Sb 0.3750 0.1250 0.7500
63 Sb 0.0000 0.0000 0.5000
64 Sb 0.8750 0.6250 0.7500
65 Sb 0.2500 0.3750 0.6250
66 Sb 0.6250 0.8750 0.2500
67 Sb 0.0000 0.5000 0.0000
68 Sb 0.5000 0.0000 0.0000
69 Sb 0.2500 0.8750 0.1250
70 Sb 0.1250 0.7500 0.3750
71 Sb 0.5000 0.5000 0.0000
72 Sb 0.7500 0.1250 0.8750
73 Sb 0.8750 0.2500 0.6250
74 Sb 0.7500 0.6250 0.3750
75 Sb 0.0000 0.5000 0.5000
76 Sb 0.1250 0.3750 0.2500
77 Sb 0.5000 0.5000 0.5000
78 Sb 0.0000 0.0000 0.0000
79 Sb 0.6250 0.7500 0.8750
80 Sb 0.3750 0.2500 0.1250

First-principles (PBE) data for a relaxed structure of CdBi2Sb, as listed in the Alexandria database.

The value obtained for the density of states at the Fermi level is 4.07 states/eV/f.u. For the magnetization, the calculation gives 0.000 μB per formula unit. Its raw formation energy is 0.74 eV/f.u. For the excess energy over the best structure of this formula in the dataset, the calculation gives 0.0845 eV/atom.

Lattice parameters (Å, degrees): 6.8355 6.8355 8.5789 66.52 66.52 90.00
Element x y z (fractional)
1 Bi 0.1340 0.6250 0.2500
2 Bi 0.8750 0.8660 0.7500
3 Bi 0.3750 0.3840 0.7500
4 Bi 0.6160 0.1250 0.2500
5 Sb 0.0000 0.0000 0.0000
6 Sb 0.7500 0.2500 0.5000
7 Cd 0.5000 0.5000 0.0000
8 Cd 0.2500 0.7500 0.5000

First-principles (PBE) data for a relaxed structure of CdBi2Sb, as listed in the Alexandria database.

The value obtained for the density of states at the Fermi level is 2.06 states/eV/f.u. For the magnetization, the calculation gives 0.000 μB per formula unit. Its raw formation energy is 0.59 eV/f.u. For the excess energy over the best structure of this formula in the dataset, the calculation gives 0.0474 eV/atom.

Lattice parameters (Å, degrees): 5.4740 5.4740 5.4740 60.00 60.00 60.00
Element x y z (fractional)
1 Cd 0.0000 0.0000 0.0000
2 Bi 0.2500 0.2500 0.2500
3 Bi 0.7500 0.7500 0.7500
4 Sb 0.5000 0.5000 0.5000